Density functional theory data (PBE) for an optimized crystal structure of CrGaFe2C.

a b c (Å): 3.7705 3.7705 3.8766
angles (deg): 90.00 90.00 90.00
Sites, in units of the cell vectors:
Cr1 0.0000 0.0000 0.5000
C1 0.0000 0.0000 0.0000
Fe1 0.0000 0.5000 0.0000
Fe2 0.5000 0.0000 0.0000
Ga1 0.5000 0.5000 0.5000

## Properties
**Formation energy from the elements**: -0.047 eV per atom
**Calculated total energy**: -7.81 eV per atom
**Magnetization**: 3.429 μB/f.u.